Compound: Cs6K2Tl
Source: Alexandria
Functional: PBE
Structure: relaxed

Space group: No. 14
Formation energy from the elements in eV/atom: 0.015

Cell: 9.4170 11.9654 15.9776 Å, 90.00 115.22 90.00°
Sites, in units of the cell vectors:
Cs (0.1014, 0.0444, 0.2597)
Cs (0.1014, 0.4556, 0.7597)
Cs (0.1654, 0.6999, 0.0247)
Cs (0.1654, 0.8001, 0.5247)
Cs (0.3723, 0.1750, 0.0079)
Cs (0.3723, 0.3250, 0.5079)
Cs (0.6277, 0.6750, 0.4921)
Cs (0.6277, 0.8250, 0.9921)
Cs (0.8346, 0.1999, 0.4753)
Cs (0.8346, 0.3001, 0.9753)
Cs (0.8986, 0.5444, 0.2403)
Cs (0.8986, 0.9556, 0.7403)
K (0.4240, 0.0768, 0.7179)
K (0.4240, 0.4232, 0.2179)
K (0.5760, 0.5768, 0.7821)
K (0.5760, 0.9232, 0.2821)
Tl (0.5000, 0.0000, 0.5000)
Tl (0.5000, 0.5000, 0.0000)



Compound: Pr5YMg
Source: Alexandria
Functional: PBE
Structure: relaxed

Energy above the lowest structure with this stoichiometry in meV per atom: 0
Space group: No. 15
Formation energy from the elements in eV/atom: 0.100

Cell: 6.5466 6.5466 12.1276 Å, 103.63 103.63 96.16°
Sites, in units of the cell vectors:
Pr (0.0816, 0.2638, 0.0386)
Pr (0.1201, 0.8799, 0.7500)
Pr (0.2638, 0.0816, 0.5386)
Pr (0.3304, 0.4480, 0.8467)
Pr (0.4480, 0.3304, 0.3467)
Pr (0.5520, 0.6696, 0.6533)
Pr (0.6696, 0.5520, 0.1533)
Pr (0.7362, 0.9184, 0.4614)
Pr (0.8799, 0.1201, 0.2500)
Pr (0.9184, 0.7362, 0.9614)
Y (0.2380, 0.7620, 0.2500)
Y (0.7620, 0.2380, 0.7500)
Mg (0.0000, 0.5000, 0.5000)
Mg (0.5000, 0.0000, 0.0000)